Entry 1:
AsPbNO2 (PBE, relaxed); symmetry = P4/mmm (123); formation energy from raw total energies = 801 meV/atom; total magnetization = 0.0 μB/f.u.; volume = 78 Å³/cell; raw total energy = -4.52 eV per atom
1.0
4.190 0.000 0.000
0.000 4.190 0.000
0.000 0.000 4.467
N O As Pb
1 2 1 1
Cartesian
0.000 0.000 2.233
2.095 0.000 0.000
0.000 2.095 0.000
2.095 2.095 2.233
0.000 0.000 0.000

Entry 2:
AsPbN2O (PBE, relaxed); symmetry = P4/mmm (123); formation energy from raw total energies = 1630 meV/atom; total magnetization = 1.1 μB/f.u.; volume = 86 Å³/cell; raw total energy = -4.36 eV per atom
1.0
4.527 0.000 0.000
0.000 4.527 0.000
0.000 0.000 4.220
As N Pb O
1 2 1 1
Cartesian
2.263 2.263 2.110
0.000 2.263 0.000
2.263 0.000 0.000
0.000 0.000 0.000
0.000 0.000 2.110

Entry 3:
AsPbN2O (PBE, relaxed); symmetry = P4/mmm (123); formation energy from raw total energies = 506 meV/atom; total magnetization = 0.0 μB/f.u.; volume = 60 Å³/cell; raw total energy = -5.49 eV per atom
1.0
-1.880 0.292 -3.434
-1.748 -3.452 0.664
-2.954 1.837 1.774
O N Pb As
1 2 1 1
Cartesian
-1.477 0.919 0.887
-0.940 0.146 -1.717
-0.874 -1.726 0.332
-3.291 -0.661 -0.498
0.000 0.000 0.000

Entry 4:
AsPdN2O (PBE, relaxed); symmetry = P4/mmm (123); formation energy from raw total energies = 1436 meV/atom; total magnetization = 1.2 μB/f.u.; volume = 62 Å³/cell; raw total energy = -4.85 eV per atom
1.0
3.920 0.000 0.000
0.000 3.920 0.000
0.000 0.000 4.045
O N As Pd
1 2 1 1
Cartesian
0.000 0.000 2.022
1.960 0.000 0.000
0.000 1.960 0.000
1.960 1.960 2.022
0.000 0.000 0.000

Entry 5:
AsPdN2O (PBE, relaxed); symmetry = P4/mmm (123); formation energy from raw total energies = 1055 meV/atom; total magnetization = 0.4 μB/f.u.; volume = 54 Å³/cell; raw total energy = -5.24 eV per atom
1.0
-3.577 1.223 0.810
-1.276 -3.648 -0.127
0.675 -0.358 3.519
O N As Pd
1 2 1 1
Cartesian
0.337 -0.179 1.760
-1.789 0.611 0.405
-0.638 -1.824 -0.063
0.000 0.000 0.000
-2.089 -1.392 2.101

Entry 6:
AsPdNO2 (PBE, relaxed); symmetry = P4/mmm (123); formation energy from raw total energies = 779 meV/atom; total magnetization = 0.0 μB/f.u.; volume = 62 Å³/cell; raw total energy = -4.84 eV per atom
1.0
3.986 0.000 0.000
0.000 3.986 0.000
0.000 0.000 3.874
As N O Pd
1 1 2 1
Cartesian
1.993 1.993 1.937
0.000 0.000 1.937
0.000 1.993 0.000
1.993 0.000 0.000
0.000 0.000 0.000

Entry 7:
AsPdNO2 (PBE, relaxed); symmetry = P4/mmm (123); formation energy from raw total energies = 396 meV/atom; total magnetization = 0.0 μB/f.u.; volume = 54 Å³/cell; raw total energy = -5.22 eV per atom
1.0
-0.897 1.387 -3.260
0.550 -3.267 -1.542
-3.875 -0.962 0.656
O As Pd N
2 1 1 1
Cartesian
0.275 -1.634 -0.771
-0.448 0.694 -1.630
0.000 0.000 0.000
-2.111 -1.421 -2.073
-1.938 -0.481 0.328

Entry 8:
AsPtNO2 (PBE, relaxed); symmetry = P4/mmm (123); formation energy from raw total energies = 703 meV/atom; total magnetization = 0.0 μB/f.u.; volume = 63 Å³/cell; raw total energy = -5.08 eV per atom
1.0
4.059 0.000 0.000
0.000 4.059 0.000
0.000 0.000 3.825
N O As Pt
1 2 1 1
Cartesian
0.000 0.000 1.913
0.000 2.029 0.000
2.029 0.000 0.000
2.029 2.029 1.913
0.000 0.000 0.000

Entry 9:
AsPtNO2 (PBE, relaxed); symmetry = P4/mmm (123); formation energy from raw total energies = 649 meV/atom; total magnetization = 0.0 μB/f.u.; volume = 55 Å³/cell; raw total energy = -5.14 eV per atom
1.0
3.632 0.000 0.000
0.000 3.632 0.000
0.000 0.000 4.139
O N As Pt
2 1 1 1
Cartesian
0.000 1.816 0.000
1.816 0.000 0.000
0.000 0.000 2.070
0.000 0.000 0.000
1.816 1.816 2.070

Entry 10:
RbAsNO2 (PBE, relaxed); symmetry = P4/mmm (123); formation energy from raw total energies = -133 meV/atom; total magnetization = 1.3 μB/f.u.; volume = 64 Å³/cell; raw total energy = -4.90 eV per atom
1.0
3.986 0.000 0.000
0.000 3.986 0.000
0.000 0.000 4.020
Rb O N As
1 2 1 1
Cartesian
1.993 1.993 2.010
1.993 0.000 0.000
0.000 1.993 0.000
0.000 0.000 2.010
0.000 0.000 0.000

Entry 11:
Rb2AsNO (PBE, relaxed); symmetry = P4/mmm (123); formation energy from raw total energies = 469 meV/atom; total magnetization = 2.0 μB/f.u.; volume = 168 Å³/cell; raw total energy = -3.50 eV per atom
1.0
6.556 0.000 0.000
0.000 3.921 0.000
0.000 0.000 6.556
O As Rb N
1 1 2 1
Cartesian
0.000 1.960 0.000
0.000 0.000 0.000
0.000 0.000 3.278
3.278 0.000 0.000
3.278 1.960 3.278

Entry 12:
RbAsNO2 (PBE, relaxed); symmetry = P4/mmm (123); formation energy from raw total energies = 1976 meV/atom; total magnetization = 0.0 μB/f.u.; volume = 81 Å³/cell; raw total energy = -2.80 eV per atom
1.0
-1.595 2.504 -2.968
-3.861 -1.366 0.922
-0.457 3.389 3.106
O As Rb N
2 1 1 1
Cartesian
-1.930 -0.683 0.461
-0.798 1.252 -1.484
-2.957 2.264 0.530
0.000 0.000 0.000
-0.229 1.694 1.553

Entry 13:
ReAsNO2 (PBE, relaxed); symmetry = P4/mmm (123); formation energy from raw total energies = 827 meV/atom; total magnetization = 4.3 μB/f.u.; volume = 57 Å³/cell; raw total energy = -6.24 eV per atom
1.0
3.728 0.000 0.000
0.000 3.728 0.000
0.000 0.000 4.124
As Re O N
1 1 2 1
Cartesian
0.000 0.000 0.000
1.864 1.864 2.062
1.864 0.000 0.000
0.000 1.864 0.000
0.000 0.000 2.062

Entry 14:
ReAsNO2 (PBE, relaxed); symmetry = P4/mmm (123); formation energy from raw total energies = -75 meV/atom; total magnetization = 0.9 μB/f.u.; volume = 60 Å³/cell; raw total energy = -7.14 eV per atom
1.0
3.865 0.000 0.000
0.000 3.865 0.000
0.000 0.000 4.047
O As Re N
2 1 1 1
Cartesian
1.933 0.000 0.000
0.000 1.933 0.000
1.933 1.933 2.023
0.000 0.000 0.000
0.000 0.000 2.023

Entry 15:
AsRhNO2 (PBE, relaxed); symmetry = P4/mmm (123); formation energy from raw total energies = 519 meV/atom; total magnetization = 1.9 μB/f.u.; volume = 53 Å³/cell; raw total energy = -5.53 eV per atom
1.0
3.688 0.000 0.000
0.000 3.688 0.000
0.000 0.000 3.930
O Rh As N
2 1 1 1
Cartesian
0.000 1.844 0.000
1.844 0.000 0.000
1.844 1.844 1.965
0.000 0.000 0.000
0.000 0.000 1.965

Entry 16:
AsRhNO2 (PBE, relaxed); symmetry = P4/mmm (123); formation energy from raw total energies = 487 meV/atom; total magnetization = 0.0 μB/f.u.; volume = 60 Å³/cell; raw total energy = -5.56 eV per atom
1.0
-1.665 -0.975 -3.518
3.621 -0.933 -1.455
-0.433 -3.525 1.182
N O As Rh
1 2 1 1
Cartesian
-0.217 -1.762 0.591
-0.833 -0.488 -1.759
1.810 -0.467 -0.728
0.761 -2.716 -1.896
0.000 0.000 0.000

Entry 17:
AsRhN2O (PBE, relaxed); symmetry = P4/mmm (123); formation energy from raw total energies = 1092 meV/atom; total magnetization = 0.0 μB/f.u.; volume = 60 Å³/cell; raw total energy = -5.63 eV per atom
1.0
3.839 0.000 0.000
0.000 3.839 0.000
0.000 0.000 4.058
N O Rh As
2 1 1 1
Cartesian
0.000 1.919 0.000
1.919 0.000 0.000
0.000 0.000 2.029
0.000 0.000 0.000
1.919 1.919 2.029

Entry 18:
AsRhN2O (PBE, relaxed); symmetry = P4/mmm (123); formation energy from raw total energies = 1112 meV/atom; total magnetization = 0.8 μB/f.u.; volume = 53 Å³/cell; raw total energy = -5.61 eV per atom
1.0
3.811 0.000 0.000
0.000 3.811 0.000
0.000 0.000 3.624
As O N Rh
1 1 2 1
Cartesian
0.000 0.000 0.000
0.000 0.000 1.812
0.000 1.905 0.000
1.905 0.000 0.000
1.905 1.905 1.812

Entry 19:
AsRuNO2 (PBE, relaxed); symmetry = P4/mmm (123); formation energy from raw total energies = 303 meV/atom; total magnetization = 0.6 μB/f.u.; volume = 60 Å³/cell; raw total energy = -6.13 eV per atom
1.0
-0.356 -0.273 -3.954
-0.456 -3.941 0.314
-3.725 0.456 0.304
N Ru O As
1 1 2 1
Cartesian
-1.863 0.228 0.152
0.000 0.000 0.000
-0.178 -0.137 -1.977
-0.228 -1.970 0.157
-2.269 -1.879 -1.668

Entry 20:
AsRuNO2 (PBE, relaxed); symmetry = P4/mmm (123); formation energy from raw total energies = 595 meV/atom; total magnetization = 3.6 μB/f.u.; volume = 55 Å³/cell; raw total energy = -5.84 eV per atom
1.0
-2.937 1.407 1.837
-0.440 -3.253 1.790
2.385 1.249 2.856
N O Ru As
1 2 1 1
Cartesian
1.192 0.625 1.428
-0.220 -1.627 0.895
-1.469 0.704 0.918
-0.496 -0.298 3.242
0.000 0.000 0.000

Entry 21:
SbAsN2O (PBE, relaxed); symmetry = P4/mmm (123); formation energy from raw total energies = 824 meV/atom; total magnetization = 0.0 μB/f.u.; volume = 64 Å³/cell; raw total energy = -5.25 eV per atom
1.0
-1.483 -2.749 -2.626
-1.660 -2.068 3.102
-3.241 2.080 -0.348
N As Sb O
2 1 1 1
Cartesian
-0.741 -1.375 -1.313
-0.830 -1.034 1.551
-3.192 -1.369 0.064
0.000 0.000 0.000
-1.620 1.040 -0.174

Entry 22:
SbAsNO2 (PBE, relaxed); symmetry = P4/mmm (123); formation energy from raw total energies = -42 meV/atom; total magnetization = 0.0 μB/f.u.; volume = 60 Å³/cell; raw total energy = -5.44 eV per atom
1.0
3.874 0.000 0.000
0.000 3.874 0.000
0.000 0.000 4.015
Sb N O As
1 1 2 1
Cartesian
1.937 1.937 2.007
0.000 0.000 2.007
1.937 0.000 0.000
0.000 1.937 0.000
0.000 0.000 0.000

Entry 23:
SbAsNO2 (PBE, relaxed); symmetry = P4/mmm (123); formation energy from raw total energies = 139 meV/atom; total magnetization = 0.0 μB/f.u.; volume = 65 Å³/cell; raw total energy = -5.26 eV per atom
1.0
3.962 0.000 0.000
0.000 3.962 0.000
0.000 0.000 4.164
O As Sb N
2 1 1 1
Cartesian
1.981 0.000 0.000
0.000 1.981 0.000
1.981 1.981 2.082
0.000 0.000 0.000
0.000 0.000 2.082

Entry 24:
SbAsN2O (PBE, relaxed); symmetry = P4/mmm (123); formation energy from raw total energies = 536 meV/atom; total magnetization = 0.0 μB/f.u.; volume = 56 Å³/cell; raw total energy = -5.54 eV per atom
1.0
-1.105 1.769 -3.281
-3.726 -0.604 0.929
-0.084 3.276 1.794
N As O Sb
2 1 1 1
Cartesian
-0.553 0.884 -1.641
-1.863 -0.302 0.465
0.000 0.000 0.000
-0.042 1.638 0.897
-2.458 2.220 -0.279

Entry 25:
ScAsN2O (PBE, relaxed); symmetry = P4/mmm (123); formation energy from raw total energies = -355 meV/atom; total magnetization = 0.0 μB/f.u.; volume = 53 Å³/cell; raw total energy = -6.87 eV per atom
1.0
3.761 0.000 0.000
0.000 3.761 0.000
0.000 0.000 3.730
O Sc N As
1 1 2 1
Cartesian
0.000 0.000 1.865
1.881 1.881 1.865
1.881 0.000 0.000
0.000 1.881 0.000
0.000 0.000 0.000

Entry 26:
ScAsN2O (PBE, relaxed); symmetry = P4/mmm (123); formation energy from raw total energies = 423 meV/atom; total magnetization = 2.0 μB/f.u.; volume = 71 Å³/cell; raw total energy = -6.10 eV per atom
1.0
4.229 0.000 0.000
0.000 4.229 0.000
0.000 0.000 3.952
Sc N O As
1 2 1 1
Cartesian
0.000 0.000 0.000
2.114 0.000 0.000
0.000 2.114 0.000
0.000 0.000 1.976
2.114 2.114 1.976

Entry 27:
Si2AsNO (PBE, relaxed); symmetry = P4/mmm (123); formation energy from raw total energies = 1353 meV/atom; total magnetization = 0.0 μB/f.u.; volume = 84 Å³/cell; raw total energy = -4.40 eV per atom
1.0
4.824 0.000 0.000
0.000 3.609 0.000
0.000 0.000 4.824
Si N O As
2 1 1 1
Cartesian
2.412 0.000 0.000
0.000 0.000 2.412
0.000 1.804 0.000
2.412 1.804 2.412
0.000 0.000 0.000

Entry 28:
SnAsN2O (PBE, relaxed); symmetry = P4/mmm (123); formation energy from raw total energies = 496 meV/atom; total magnetization = 0.0 μB/f.u.; volume = 57 Å³/cell; raw total energy = -5.56 eV per atom
1.0
-1.262 2.408 2.768
-2.775 -2.541 0.945
2.351 -1.639 2.497
O N Sn As
1 2 1 1
Cartesian
1.175 -0.819 1.249
-1.388 -1.270 0.473
-0.631 1.204 1.384
-0.843 -0.886 3.105
0.000 0.000 0.000

Entry 29:
SnAsN2O (PBE, relaxed); symmetry = P4/mmm (123); formation energy from raw total energies = 1004 meV/atom; total magnetization = 0.5 μB/f.u.; volume = 69 Å³/cell; raw total energy = -5.05 eV per atom
1.0
-4.095 -0.128 -0.648
-0.589 -1.141 3.944
-0.289 3.845 1.069
O N Sn As
1 2 1 1
Cartesian
-0.145 1.923 0.535
-0.294 -0.571 1.972
-2.047 -0.064 -0.324
0.000 0.000 0.000
-2.487 1.288 2.182